(1)
Entry from Alexandria: a geometry-optimized AlCr2 structure (GGA-PBE).

## Properties
The crystal system is cubic. For the formation enthalpy at 0 K, the calculation gives 3.259 eV/f.u.

Cell: 5.7392 5.7392 5.7392 Å, 90.00 90.00 90.00°
Last column: nearest neighbours and their distance in Å.
Element x y z (fractional)
Al1 0.0000 0.0000 0.0000  6 Cr 2.44
Al2 0.0000 0.5000 0.5000  6 Cr 2.44
Al3 0.5000 0.0000 0.5000  6 Cr 2.44
Al4 0.5000 0.5000 0.0000  6 Cr 2.44
Cr1 0.0996 0.5996 0.9004  1 Cr 1.98
Cr2 0.0996 0.9004 0.4004  1 Cr 1.98
Cr3 0.4004 0.0996 0.9004  1 Cr 1.98
Cr4 0.4004 0.4004 0.4004  1 Cr 1.98
Cr5 0.5996 0.5996 0.5996  1 Cr 1.98
Cr6 0.5996 0.9004 0.0996  1 Cr 1.98
Cr7 0.9004 0.0996 0.5996  1 Cr 1.98
Cr8 0.9004 0.4004 0.0996  1 Cr 1.98

(2)
Entry from Alexandria: a geometry-optimized Fe2TcP structure (GGA-PBE).

## Properties
The crystal system is trigonal. For the formation enthalpy at 0 K, the calculation gives -0.051 eV/f.u.

Cell: 7.8639 7.8639 7.8639 Å, 19.46 19.46 19.46°
Last column: nearest neighbours and their distance in Å.
Element x y z (fractional)
Fe1 0.2417 0.2417 0.2417  3 P 2.32
Fe2 0.7583 0.7583 0.7583  3 P 2.32
Tc1 0.0000 0.0000 0.0000  6 Fe 2.62, 6 Tc 2.66
P1 0.5000 0.5000 0.5000  6 Fe 2.32

(3)
Entry from Alexandria: a geometry-optimized LaZrAgAs2 structure (GGA-PBE).

## Properties
The crystal system is tetragonal. For the formation enthalpy at 0 K, the calculation gives -1.867 eV/f.u.

Cell: 5.1579 5.1579 5.1513 Å, 90.00 90.00 90.00°
Last column: nearest neighbours and their distance in Å.
Element x y z (fractional)
La1 0.0000 0.0000 0.0000  8 As 3.64, 4 Ag 3.65
Zr1 0.5000 0.5000 0.5000  2 Ag 2.58, 4 As 2.58
Ag1 0.5000 0.5000 0.0000  2 Zr 2.58
As1 0.0000 0.5000 0.5000  2 Zr 2.58
As2 0.5000 0.0000 0.5000  2 Zr 2.58

(4)
Entry from Alexandria: a geometry-optimized ReTe2IN structure (GGA-PBE).

## Properties
The crystal system is tetragonal. The uncorrected formation energy is 1619 meV per atom. The energy above the most stable polymorph in this dataset comes out at 27.868 kcal/mol of atoms.

Cell: 4.6813 4.6813 4.6131 Å, 90.00 90.00 90.00°
Last column: nearest neighbours and their distance in Å.
Element x y z (fractional)
Re1 0.0000 0.0000 0.0000  8 Te 3.29, 4 I 3.31
Te1 0.0000 0.5000 0.5000  2 N 2.34
Te2 0.5000 0.0000 0.5000  2 N 2.34
I1 0.5000 0.5000 0.0000  2 N 2.31
N1 0.5000 0.5000 0.5000  2 I 2.31, 4 Te 2.34

(5)
Entry from Alexandria: a geometry-optimized TlAsP4 structure (GGA-PBE).

## Properties
The crystal system is cubic. For the formation enthalpy at 0 K, the calculation gives 2.821 eV/f.u.

Cell: 5.8403 5.8403 5.8403 Å, 60.00 60.00 60.00°
Last column: nearest neighbours and their distance in Å.
Element x y z (fractional)
Tl1 0.0000 0.0000 0.0000  12 P 3.52, 4 As 3.58
As1 0.2500 0.2500 0.2500  12 P 3.38, 4 Tl 3.58
P1 0.2134 0.5955 0.5955  3 P 2.23
P2 0.5955 0.2134 0.5955  3 P 2.23
P3 0.5955 0.5955 0.2134  3 P 2.23
P4 0.5955 0.5955 0.5955  3 P 2.23

(6)
Entry from Alexandria: a geometry-optimized La6Cu2AuI3 structure (GGA-PBE).

## Properties
The crystal system is monoclinic. The uncorrected formation energy is -673 meV per atom.

Cell: 7.5553 7.5553 8.2775 Å, 98.76 98.76 119.96°
Last column: nearest neighbours and their distance in Å.
Element x y z (fractional)
La1 0.0884 0.4294 0.7887  2 Cu 2.98-3.00, 1 Au 3.07
La2 0.2275 0.2275 0.2073  2 Cu 2.99, 1 Au 3.06
La3 0.4294 0.0884 0.7887  2 Cu 2.98-3.00, 1 Au 3.07
La4 0.5706 0.9116 0.2113  2 Cu 2.98-3.00, 1 Au 3.07
La5 0.7725 0.7725 0.7927  2 Cu 2.99, 1 Au 3.06
La6 0.9116 0.5706 0.2113  2 Cu 2.98-3.00, 1 Au 3.07
Cu1 0.1679 0.8321 0.0000  6 La 2.98-3.00
Cu2 0.8321 0.1679 0.0000  6 La 2.98-3.00
Au1 0.5000 0.5000 0.0000  6 La 3.06-3.07
I1 0.0000 0.0000 0.5000  6 La 3.37-3.42
I2 0.3365 0.6635 0.5000  6 La 3.38-3.42
I3 0.6635 0.3365 0.5000  6 La 3.38-3.42